The following is a DFT calculation (PBEsol) of crystalline YSOF2 at its relaxed geometry.

Structure (CIF):
```
data_YSOF2
_cell_length_a 4.322
_cell_length_b 4.322
_cell_length_c 4.455
_cell_angle_alpha 90.00
_cell_angle_beta 90.00
_cell_angle_gamma 90.00
_space_group_name_H-M_alt 'P 4/m m m'
_space_group_IT_number 123
_space_group_name_Hall '-P 4 2'
loop_
_atom_site_label
_atom_site_type_symbol
_atom_site_fract_x
_atom_site_fract_y
_atom_site_fract_z
Y1 Y 0.000 0.000 0.000
S1 S 0.500 0.500 0.500
O1 O 0.000 0.000 0.500
F1 F 0.000 0.500 0.000
```

***

The following is a DFT calculation (PBEsol) of crystalline Sb3O2F5 at its relaxed geometry.

Structure (CIF):
```
data_Sb3O2F5
_cell_length_a 13.157
_cell_length_b 5.832
_cell_length_c 9.037
_cell_angle_alpha 90.00
_cell_angle_beta 108.92
_cell_angle_gamma 90.00
_space_group_name_H-M_alt 'P 1 2/c 1'
_space_group_IT_number 13
loop_
_space_group_symop_operation_xyz
'x,y,z'
'-x,-y,-z'
'-x,y,-z+1/2'
'x,-y,z+1/2'
loop_
_atom_site_label
_atom_site_type_symbol
_atom_site_fract_x
_atom_site_fract_y
_atom_site_fract_z
Sb1 Sb 0.000 0.044 0.250
Sb2 Sb 0.207 0.445 0.114
Sb3 Sb 0.360 0.040 0.414
Sb4 Sb 0.500 0.392 0.250
O1 O 0.339 0.260 0.213
O2 O 0.493 0.171 0.073
F1 F 0.045 0.275 0.417
F2 F 0.150 0.134 0.225
F3 F 0.151 0.230 0.937
F4 F 0.294 0.447 0.479
F5 F 0.355 0.208 0.759
```

***

The following is a DFT calculation (PBEsol) of crystalline Sb5O7F at its relaxed geometry.

Structure (CIF):
```
data_Sb5O7F
_cell_length_a 6.550
_cell_length_b 12.427
_cell_length_c 13.209
_cell_angle_alpha 90.00
_cell_angle_beta 118.37
_cell_angle_gamma 90.00
_space_group_name_H-M_alt 'P 1 21/c 1'
_space_group_IT_number 14
loop_
_space_group_symop_operation_xyz
'x,y,z'
'-x,-y,-z'
'-x,y+1/2,-z+1/2'
'x,-y+1/2,z+1/2'
loop_
_atom_site_label
_atom_site_type_symbol
_atom_site_fract_x
_atom_site_fract_y
_atom_site_fract_z
Sb1 Sb 0.034 0.238 0.445
Sb2 Sb 0.302 0.529 0.554
Sb3 Sb 0.330 0.742 0.398
Sb4 Sb 0.333 0.247 0.755
Sb5 Sb 0.363 0.552 0.099
O1 O 0.031 0.607 0.993
O2 O 0.126 0.676 0.485
O3 O 0.343 0.246 0.601
O4 O 0.354 0.678 0.196
O5 O 0.445 0.592 0.458
O6 O 0.485 0.098 0.800
O7 O 0.492 0.171 0.458
F1 F 0.273 0.069 0.251
```

***

The following is a DFT calculation (PBEsol) of crystalline Sb3O2F5 at its relaxed geometry.

Structure (CIF):
```
data_Sb3O2F5
_cell_length_a 5.288
_cell_length_b 17.212
_cell_length_c 6.467
_cell_angle_alpha 90.00
_cell_angle_beta 90.00
_cell_angle_gamma 90.00
_space_group_name_H-M_alt 'P n m a'
_space_group_IT_number 62
loop_
_space_group_symop_operation_xyz
'x,y,z'
'-x,-y,-z'
'-x+1/2,-y,z+1/2'
'x+1/2,y,-z+1/2'
'x+1/2,-y+1/2,-z+1/2'
'-x+1/2,y+1/2,z+1/2'
'-x,y+1/2,-z'
'x,-y+1/2,z'
loop_
_atom_site_label
_atom_site_type_symbol
_atom_site_fract_x
_atom_site_fract_y
_atom_site_fract_z
Sb1 Sb 0.135 0.104 0.032
Sb2 Sb 0.220 0.250 0.440
O1 O 0.056 0.674 0.762
F1 F 0.067 0.523 0.811
F2 F 0.119 0.250 0.920
F3 F 0.195 0.621 0.124
```

***

The following is a DFT calculation (PBEsol) of crystalline SbO2F2 at its relaxed geometry.

Structure (CIF):
```
data_SbO2F2
_cell_length_a 4.195
_cell_length_b 4.195
_cell_length_c 3.943
_cell_angle_alpha 90.00
_cell_angle_beta 90.00
_cell_angle_gamma 90.00
_space_group_name_H-M_alt 'P 4/m m m'
_space_group_IT_number 123
_space_group_name_Hall '-P 4 2'
loop_
_atom_site_label
_atom_site_type_symbol
_atom_site_fract_x
_atom_site_fract_y
_atom_site_fract_z
Sb1 Sb 0.000 0.000 0.000
O1 O 0.000 0.000 0.500
O2 O 0.500 0.500 0.500
F1 F 0.000 0.500 0.000
```

***

The following is a DFT calculation (PBEsol) of crystalline SbO2F at its relaxed geometry.

Structure (CIF):
```
data_SbO2F
_cell_length_a 9.123
_cell_length_b 4.902
_cell_length_c 5.274
_cell_angle_alpha 90.00
_cell_angle_beta 120.92
_cell_angle_gamma 90.00
_space_group_name_H-M_alt 'C 1 2/c 1'
_space_group_IT_number 15
loop_
_space_group_symop_operation_xyz
'x,y,z'
'-x,-y,-z'
'-x,y,-z+1/2'
'x,-y,z+1/2'
'x+1/2,y+1/2,z'
'-x+1/2,-y+1/2,-z'
'-x+1/2,y+1/2,-z+1/2'
'x+1/2,-y+1/2,z+1/2'
loop_
_atom_site_label
_atom_site_type_symbol
_atom_site_fract_x
_atom_site_fract_y
_atom_site_fract_z
Sb1 Sb 0.250 0.250 0.000
O1 O 0.184 0.076 0.256
F1 F 0.000 0.389 0.750
```

***

The following is a DFT calculation (PBEsol) of crystalline Sb5O7F at its relaxed geometry.

Structure (CIF):
```
data_Sb5O7F
_cell_length_a 5.142
_cell_length_b 15.349
_cell_length_c 22.924
_cell_angle_alpha 90.00
_cell_angle_beta 90.00
_cell_angle_gamma 90.00
_space_group_name_H-M_alt 'I b c a'
_space_group_IT_number 73
_space_group_name_Hall '-I 2b 2c'
loop_
_atom_site_label
_atom_site_type_symbol
_atom_site_fract_x
_atom_site_fract_y
_atom_site_fract_z
Sb1 Sb 0.000 0.250 0.200
Sb2 Sb 0.022 0.081 0.308
Sb3 Sb 0.053 0.081 0.566
O1 O 0.080 0.041 0.446
O2 O 0.087 0.072 0.652
O3 O 0.212 0.000 0.250
O4 O 0.231 0.169 0.253
F1 F 0.000 0.250 0.345
```

***

The following is a DFT calculation (PBEsol) of crystalline SbOF at its relaxed geometry.

Structure (CIF):
```
data_SbOF
_cell_length_a 12.648
_cell_length_b 3.513
_cell_length_c 3.978
_cell_angle_alpha 90.00
_cell_angle_beta 90.00
_cell_angle_gamma 90.00
_space_group_name_H-M_alt 'P n m a'
_space_group_IT_number 62
loop_
_space_group_symop_operation_xyz
'x,y,z'
'-x,-y,-z'
'-x+1/2,-y,z+1/2'
'x+1/2,y,-z+1/2'
'x+1/2,-y+1/2,-z+1/2'
'-x+1/2,y+1/2,z+1/2'
'-x,y+1/2,-z'
'x,-y+1/2,z'
loop_
_atom_site_label
_atom_site_type_symbol
_atom_site_fract_x
_atom_site_fract_y
_atom_site_fract_z
Sb1 Sb 0.152 0.250 0.198
O1 O 0.247 0.250 0.785
F1 F 0.087 0.750 0.887
```

***

The following is a DFT calculation (PBEsol) of crystalline Sb5O7F at its relaxed geometry.

Structure (CIF):
```
data_Sb5O7F
_cell_length_a 19.974
_cell_length_b 4.074
_cell_length_c 12.123
_cell_angle_alpha 90.00
_cell_angle_beta 111.83
_cell_angle_gamma 90.00
_space_group_name_H-M_alt 'C 1 2/m 1'
_space_group_IT_number 12
loop_
_space_group_symop_operation_xyz
'x,y,z'
'-x,-y,-z'
'-x,y,-z'
'x,-y,z'
'x+1/2,y+1/2,z'
'-x+1/2,-y+1/2,-z'
'-x+1/2,y+1/2,-z'
'x+1/2,-y+1/2,z'
loop_
_atom_site_label
_atom_site_type_symbol
_atom_site_fract_x
_atom_site_fract_y
_atom_site_fract_z
Sb1 Sb 0.054 0.000 0.421
Sb2 Sb 0.064 0.000 0.136
Sb3 Sb 0.149 0.500 0.650
Sb4 Sb 0.171 0.500 0.050
Sb5 Sb 0.209 0.500 0.345
O1 O 0.079 0.500 0.472
O2 O 0.111 0.500 0.168
O3 O 0.112 0.000 0.318
O4 O 0.138 0.000 0.577
O5 O 0.148 0.000 0.083
O6 O 0.240 0.500 0.618
O7 O 0.249 0.000 0.782
F1 F 0.061 0.500 0.936
```

***

The following is a DFT calculation (PBEsol) of crystalline SbOF at its relaxed geometry.

Structure (CIF):
```
data_SbOF
_cell_length_a 6.135
_cell_length_b 7.579
_cell_length_c 4.167
_cell_angle_alpha 90.00
_cell_angle_beta 90.00
_cell_angle_gamma 90.00
_space_group_name_H-M_alt 'P n a 21'
_space_group_IT_number 33
loop_
_space_group_symop_operation_xyz
'x,y,z'
'-x,-y,z+1/2'
'-x+1/2,y+1/2,z+1/2'
'x+1/2,-y+1/2,z'
loop_
_atom_site_label
_atom_site_type_symbol
_atom_site_fract_x
_atom_site_fract_y
_atom_site_fract_z
Sb1 Sb 0.189 0.092 0.000
O1 O 0.124 0.926 0.360
F1 F 0.077 0.282 0.298
```

***

The following is a DFT calculation (PBEsol) of crystalline SbOF at its relaxed geometry.

Structure (CIF):
```
data_SbOF
_cell_length_a 9.732
_cell_length_b 9.732
_cell_length_c 4.260
_cell_angle_alpha 90.00
_cell_angle_beta 90.00
_cell_angle_gamma 90.00
_space_group_name_H-M_alt 'P -4 21 c'
_space_group_IT_number 114
loop_
_space_group_symop_operation_xyz
'x,y,z'
'y,-x,-z'
'-x,-y,z'
'-y,x,-z'
'x+1/2,-y+1/2,-z+1/2'
'y+1/2,x+1/2,z+1/2'
'-x+1/2,y+1/2,-z+1/2'
'-y+1/2,-x+1/2,z+1/2'
loop_
_atom_site_label
_atom_site_type_symbol
_atom_site_fract_x
_atom_site_fract_y
_atom_site_fract_z
Sb1 Sb 0.021 0.243 0.360
O1 O 0.116 0.132 0.694
F1 F 0.065 0.669 0.734
```

***

The following is a DFT calculation (PBEsol) of crystalline Sb5O7F at its relaxed geometry.

Structure (CIF):
```
data_Sb5O7F
_cell_length_a 4.075
_cell_length_b 10.166
_cell_length_c 12.156
_cell_angle_alpha 111.49
_cell_angle_beta 90.33
_cell_angle_gamma 100.88
_space_group_name_H-M_alt 'P -1'
_space_group_IT_number 2
loop_
_space_group_symop_operation_xyz
'x,y,z'
'-x,-y,-z'
loop_
_atom_site_label
_atom_site_type_symbol
_atom_site_fract_x
_atom_site_fract_y
_atom_site_fract_z
Sb1 Sb 0.064 0.107 0.420
Sb2 Sb 0.070 0.127 0.136
Sb3 Sb 0.292 0.582 0.655
Sb4 Sb 0.332 0.658 0.950
Sb5 Sb 0.342 0.701 0.351
O1 O 0.117 0.224 0.318
O2 O 0.146 0.275 0.577
O3 O 0.146 0.295 0.083
O4 O 0.254 0.497 0.781
O5 O 0.258 0.521 0.383
O6 O 0.387 0.778 0.832
O7 O 0.412 0.843 0.529
F1 F 0.442 0.880 0.063
```

***

The following is a DFT calculation (PBEsol) of crystalline SbO2F at its relaxed geometry.

Structure (CIF):
```
data_SbO2F
_cell_length_a 8.632
_cell_length_b 5.178
_cell_length_c 5.467
_cell_angle_alpha 90.00
_cell_angle_beta 124.48
_cell_angle_gamma 90.00
_space_group_name_H-M_alt 'C 1 c 1'
_space_group_IT_number 9
loop_
_space_group_symop_operation_xyz
'x,y,z'
'x,-y,z+1/2'
'x+1/2,y+1/2,z'
'x+1/2,-y+1/2,z+1/2'
loop_
_atom_site_label
_atom_site_type_symbol
_atom_site_fract_x
_atom_site_fract_y
_atom_site_fract_z
Sb1 Sb 0.000 0.219 0.000
O1 O 0.260 0.112 0.235
O2 O 0.430 0.418 0.751
F1 F 0.071 0.443 0.752
```

***

For the records above, the corresponding raw formation energy values read -10.09; -20.42; -18.04; -19.95; -4.05; -6.19; -17.90; -5.32; -17.95; -5.23; -5.22; -17.95; -6.23 eV/f.u..